{"formula": "NaBe3Bi", "functional": "PBE", "state": "relaxed", "spacegroup": "Pm-3m, No. 221", "mass_density_g_cm3": 4.401, "crystal_system": "cubic", "relative_energy_ev_per_atom": 0.2931, "cell": [[4.606, 0.000, 0.000], [0.000, 4.606, 0.000], [0.000, 0.000, 4.606]], "species": ["Bi", "Be", "Be", "Be", "Na"], "fractional_positions": [[0.500, 0.500, 0.500], [0.000, 0.500, 0.000], [0.000, 0.000, 0.500], [0.500, 0.000, 0.000], [0.000, 0.000, 0.000]]}

{"formula": "NbTl2PO6", "functional": "PBE", "state": "relaxed", "spacegroup": "R-3, No. 148", "raw_formation_energy_mev_per_atom": -2006.2, "mass_density_g_cm3": 5.970, "crystal_system": "trigonal", "relative_energy_ev_per_atom": 0.0000, "cell": [[16.166, 0.043, 0.026], [13.698, 8.584, 0.026], [13.698, 3.957, 7.618]], "species": ["O", "O", "O", "Nb", "O", "Tl", "O", "O", "Tl", "Tl", "O", "O", "Nb", "O", "O", "P", "P", "O", "O", "Tl", "Tl", "O", "O", "O", "Tl", "O", "O", "Tl", "O", "Nb", "O", "O", "O", "O", "O", "O", "O", "Nb", "P", "Nb", "O", "O", "O", "O", "O", "O", "Tl", "O", "O", "O", "Tl", "Nb", "O", "P", "P", "Tl", "O", "Tl", "Tl", "P"], "fractional_positions": [[0.944, 0.574, 0.758], [0.895, 0.206, 0.529], [0.529, 0.895, 0.206], [0.757, 0.508, 0.996], [0.228, 0.548, 0.436], [0.402, 0.818, 0.197], [0.079, 0.755, 0.956], [0.456, 0.123, 0.303], [0.197, 0.402, 0.818], [0.661, 0.109, 0.319], [0.544, 0.877, 0.697], [0.877, 0.697, 0.544], [0.243, 0.492, 0.004], [0.426, 0.242, 0.056], [0.755, 0.956, 0.079], [0.083, 0.083, 0.083], [0.418, 0.418, 0.418], [0.697, 0.544, 0.877], [0.303, 0.456, 0.123], [0.681, 0.339, 0.891], [0.319, 0.661, 0.109], [0.206, 0.529, 0.895], [0.549, 0.549, 0.549], [0.116, 0.116, 0.116], [0.818, 0.197, 0.402], [0.956, 0.079, 0.755], [0.451, 0.451, 0.451], [0.598, 0.182, 0.803], [0.471, 0.105, 0.794], [0.492, 0.004, 0.243], [0.574, 0.758, 0.944], [0.339, 0.339, 0.339], [0.044, 0.921, 0.245], [0.548, 0.436, 0.228], [0.105, 0.794, 0.471], [0.884, 0.884, 0.884], [0.123, 0.303, 0.456], [0.996, 0.757, 0.508], [0.582, 0.582, 0.582], [0.004, 0.243, 0.492], [0.242, 0.056, 0.426], [0.436, 0.228, 0.548], [0.661, 0.661, 0.661], [0.758, 0.944, 0.574], [0.564, 0.772, 0.452], [0.245, 0.044, 0.921], [0.182, 0.803, 0.598], [0.056, 0.426, 0.242], [0.794, 0.471, 0.105], [0.452, 0.564, 0.772], [0.803, 0.598, 0.182], [0.508, 0.996, 0.757], [0.772, 0.452, 0.564], [0.695, 0.695, 0.695], [0.305, 0.305, 0.305], [0.339, 0.891, 0.681], [0.921, 0.245, 0.044], [0.109, 0.319, 0.661], [0.891, 0.681, 0.339], [0.917, 0.917, 0.917]]}

{"formula": "ZrAl3Au", "functional": "PBE", "state": "relaxed", "spacegroup": "Pm-3m, No. 221", "mass_density_g_cm3": 5.554, "crystal_system": "cubic", "relative_energy_ev_per_atom": 0.0000, "cell": [[-1.675, -3.449, 2.882], [3.103, 1.338, 3.405], [-3.252, 3.053, 1.764]], "species": ["Al", "Al", "Al", "Au", "Zr"], "fractional_positions": [[0.000, 0.000, 0.500], [0.500, 0.000, 0.000], [0.000, 0.500, 0.000], [0.000, 0.000, 0.000], [0.500, 0.500, 0.500]]}

{"formula": "ScCl", "functional": "PBE", "state": "relaxed", "spacegroup": "Cm, No. 8", "raw_formation_energy_mev_per_atom": -1128.0, "mass_density_g_cm3": 3.184, "crystal_system": "monoclinic", "cell": [[1.671, 6.266, 0.033], [-1.671, 6.266, 0.033], [0.000, 4.358, 6.031]], "species": ["Cl", "Sc", "Cl", "Sc", "Cl", "Sc"], "fractional_positions": [[0.053, 0.053, 0.937], [0.013, 0.013, 0.384], [0.323, 0.323, 0.375], [0.802, 0.802, 0.090], [0.365, 0.365, 0.761], [0.610, 0.610, 0.619]]}

{"formula": "Hf3CuPb", "functional": "PBE", "state": "relaxed", "spacegroup": "Pm-3m, No. 221", "mass_density_g_cm3": 8.994, "crystal_system": "cubic", "relative_energy_ev_per_atom": 1.3416, "cell": [[5.300, 0.000, 0.000], [0.000, 5.300, 0.000], [0.000, 0.000, 5.300]], "species": ["Hf", "Pb", "Hf", "Cu", "Hf"], "fractional_positions": [[0.000, 0.000, 0.500], [0.000, 0.000, 0.000], [0.000, 0.500, 0.000], [0.500, 0.500, 0.500], [0.500, 0.000, 0.000]]}

{"formula": "La8Mg3", "functional": "PBE", "state": "relaxed", "e_tot_ev_per_cell": -44.68, "spacegroup": "C2/m, No. 12", "mass_density_g_cm3": 5.276, "crystal_system": "monoclinic", "cell": [[3.952, 0.000, 0.000], [-1.976, 6.394, -1.416], [0.000, -0.735, 14.910]], "species": ["La", "La", "La", "Mg", "Mg", "Mg", "La", "La", "La", "La", "La"], "fractional_positions": [[0.375, 0.751, 0.528], [0.202, 0.404, 0.292], [0.625, 0.249, 0.472], [0.924, 0.848, 0.350], [0.000, 0.000, 0.000], [0.076, 0.152, 0.650], [0.540, 0.080, 0.827], [0.710, 0.421, 0.089], [0.460, 0.920, 0.173], [0.290, 0.579, 0.911], [0.798, 0.596, 0.708]]}

{"formula": "CrSb2HI", "functional": "PBE", "state": "relaxed", "spacegroup": "P4/mmm, No. 123", "mass_density_g_cm3": 5.668, "crystal_system": "tetragonal", "relative_energy_ev_per_atom": 0.0000, "cell": [[4.323, 0.000, 0.000], [0.000, 4.323, 0.000], [0.000, 0.000, 6.637]], "species": ["Sb", "Cr", "Sb", "I", "H"], "fractional_positions": [[0.000, 0.500, 0.000], [0.500, 0.500, 0.500], [0.500, 0.000, 0.000], [0.000, 0.000, 0.500], [0.000, 0.000, 0.000]]}

{"formula": "Hg3TeO4", "functional": "PBE", "state": "relaxed", "spacegroup": "Pmn2_1, No. 31", "raw_formation_energy_mev_per_atom": -460.8, "mass_density_g_cm3": 7.998, "crystal_system": "orthorhombic", "cell": [[-0.884, -2.310, 5.622], [7.138, -4.281, -0.637], [3.201, 4.958, 2.541]], "species": ["O", "O", "Hg", "O", "Te", "Te", "Hg", "Hg", "O", "Hg", "O", "O", "O", "Hg", "Hg", "O"], "fractional_positions": [[0.092, 0.714, 0.000], [0.644, 0.811, 0.270], [0.968, 0.629, 0.288], [0.144, 0.189, 0.230], [0.495, 0.911, 0.500], [0.995, 0.089, 0.000], [0.471, 0.672, 0.000], [0.468, 0.371, 0.212], [0.734, 0.203, 0.000], [0.971, 0.328, 0.500], [0.644, 0.811, 0.730], [0.234, 0.797, 0.500], [0.144, 0.189, 0.770], [0.968, 0.629, 0.712], [0.468, 0.371, 0.788], [0.592, 0.286, 0.500]]}

{"formula": "LiSnSN2", "functional": "PBE", "state": "relaxed", "spacegroup": "P4/mmm, No. 123", "raw_formation_energy_mev_per_atom": 869.9, "mass_density_g_cm3": 3.539, "crystal_system": "tetragonal", "relative_energy_ev_per_atom": 0.0000, "cell": [[4.112, 0.000, 0.000], [0.000, 4.112, 0.000], [0.000, 0.000, 5.154]], "species": ["Sn", "N", "Li", "S", "N"], "fractional_positions": [[0.000, 0.000, 0.000], [0.500, 0.000, 0.000], [0.500, 0.500, 0.500], [0.000, 0.000, 0.500], [0.000, 0.500, 0.000]]}

{"formula": "LaAlO3", "functional": "PBE", "state": "relaxed", "spacegroup": "P2_1/c, No. 14", "raw_formation_energy_mev_per_atom": -3182.0, "mass_density_g_cm3": 4.871, "crystal_system": "monoclinic", "cell": [[-17.953, 3.726, 2.645], [0.119, -2.502, 4.332], [6.700, 1.420, 0.636]], "species": ["O", "Al", "O", "Al", "O", "Al", "O", "La", "O", "La", "O", "Al", "O", "O", "La", "O", "La", "O", "O", "O"], "fractional_positions": [[0.519, 0.782, 0.898], [0.005, 0.252, 0.923], [0.895, 0.080, 0.862], [0.505, 0.248, 0.423], [0.855, 0.548, 0.605], [0.995, 0.748, 0.077], [0.395, 0.420, 0.362], [0.135, 0.248, 0.689], [0.645, 0.048, 0.895], [0.635, 0.252, 0.189], [0.105, 0.920, 0.138], [0.495, 0.752, 0.577], [0.355, 0.952, 0.105], [0.981, 0.282, 0.602], [0.865, 0.752, 0.311], [0.605, 0.580, 0.638], [0.365, 0.748, 0.811], [0.145, 0.452, 0.395], [0.019, 0.718, 0.398], [0.481, 0.218, 0.102]]}

{"formula": "Ba3IrO6F2", "functional": "PBE", "state": "relaxed", "spacegroup": "C2/m, No. 12", "raw_formation_energy_mev_per_atom": -1954.2, "mass_density_g_cm3": 5.101, "crystal_system": "monoclinic", "cell": [[5.215, 0.000, 0.399], [0.000, 7.232, 0.000], [-0.213, -3.616, 6.355]], "species": ["O", "O", "O", "O", "Ir", "Ba", "Ba", "F", "O", "O", "F", "Ba"], "fractional_positions": [[0.295, 0.752, 0.885], [0.705, 0.867, 0.115], [0.300, 0.129, 0.259], [0.705, 0.248, 0.115], [0.500, 0.000, 0.000], [0.500, 0.500, 0.500], [0.000, 0.500, 0.000], [0.795, 0.322, 0.645], [0.700, 0.871, 0.741], [0.295, 0.133, 0.885], [0.205, 0.678, 0.355], [0.500, 0.000, 0.500]]}

{"formula": "Y2Al4F", "functional": "PBE", "state": "relaxed", "spacegroup": "I4/mmm, No. 139", "raw_formation_energy_mev_per_atom": -493.1, "mass_density_g_cm3": 3.434, "crystal_system": "tetragonal", "cell": [[-1.075, -2.093, 3.742], [3.727, -2.365, -0.252], [4.944, 3.047, 5.735]], "species": ["Al", "Al", "Al", "F", "Y", "Al", "Y"], "fractional_positions": [[0.144, 0.144, 0.712], [0.856, 0.856, 0.288], [0.000, 0.500, 0.000], [0.000, 0.000, 0.000], [0.655, 0.655, 0.690], [0.500, 0.000, 0.000], [0.345, 0.345, 0.310]]}

Summary of spin magnetization in μB/atom
0.000; 0.000; 0.000; 0.000; 0.000; 0.000; 0.835; 0.000; 0.601; 0.000; 0.059; 0.000
(order as listed above)